No. 1
A plane-wave DFT calculation with PBE was carried out for an optimized crystal structure of Pm3NdPu2Te6.

As for the space group: C2/m, No. 12.

Geometry as extended XYZ:
```
12
Lattice="-1.358 3.899 1.645 -8.486 -2.828 -0.300 3.661 -4.649 8.039" Properties=species:S:1:pos:R:3 pbc="T T T"
Nd -0.679 1.950 0.822
Te -1.567 -2.977 5.764
Te -4.615 -0.600 3.619
Te -4.047 -2.855 9.433
Te -0.416 0.797 3.773
Te -2.135 -0.723 -0.049
Te -5.766 -4.374 5.610
Pm -6.093 -3.248 2.671
Pm -4.922 0.536 0.672
Pm -0.090 -0.329 6.712
Pu -1.836 -1.841 2.849
Pu -4.346 -1.736 6.534
```

No. 2
A plane-wave DFT calculation with PBE was carried out for an optimized crystal structure of PmNdYPu.

As for the space group: F-43m, No. 216. The formation enthalpy at 0 K is 215 meV per atom.

Geometry as extended XYZ:
```
4
Lattice="-3.411 3.512 -2.909 -1.261 -1.113 -5.440 -5.257 -1.666 -1.421" Properties=species:S:1:pos:R:3 pbc="T T T"
Pu -7.446 0.550 -7.328
Y -2.482 0.183 -2.443
Pm 0.000 0.000 0.000
Nd -4.964 0.367 -4.885
```

No. 3
A plane-wave DFT calculation with PBE was carried out for an optimized crystal structure of Pm3Nd2Y6Pu.

As for the space group: C2/m, No. 12. The formation enthalpy at 0 K is 44 meV per atom.

Geometry as extended XYZ:
```
12
Lattice="6.243 -0.003 -0.001 -3.122 5.406 -0.001 -1.041 -1.802 11.642" Properties=species:S:1:pos:R:3 pbc="T T T"
Y 2.052 -0.004 2.886
Y 3.109 1.826 8.754
Y -1.029 1.776 2.886
Y -0.012 -0.021 8.754
Y 0.028 3.605 8.754
Y 2.092 3.623 2.887
Pm -2.078 3.602 5.820
Pm 4.159 0.000 5.820
Pm 1.040 1.801 5.820
Nd 3.121 1.801 -0.001
Nd 0.000 3.603 -0.001
Pu 0.000 0.000 0.000
```

No. 4
A plane-wave DFT calculation with PBE was carried out for an optimized crystal structure of Pm2Nd3Y6Pu.

As for the space group: C2/m, No. 12. The formation enthalpy at 0 K is 43 meV per atom.

Geometry as extended XYZ:
```
12
Lattice="-4.160 1.101 4.530 -1.722 -3.109 -5.138 4.866 -9.380 5.312" Properties=species:S:1:pos:R:3 pbc="T T T"
Pm -3.347 -0.303 1.306
Pm -2.535 -1.705 -1.915
Y -3.228 -3.827 0.853
Y -1.168 -7.887 5.133
Y -0.366 -9.272 1.953
Y 2.212 -7.562 3.851
Y 0.152 -3.502 -0.430
Y -0.650 -2.116 2.751
Nd -1.319 -4.292 5.571
Nd 0.304 -7.096 -0.867
Nd -0.508 -5.694 2.352
Pu 0.000 0.000 0.000
```

No. 5
A plane-wave DFT calculation with PBE was carried out for an optimized crystal structure of RbPmNd2.

As for the space group: R-3m, No. 166. The formation enthalpy at 0 K is 244 meV per atom.

Geometry as extended XYZ:
```
4
Lattice="3.724 0.000 0.000 1.862 3.225 0.000 1.862 1.075 13.625" Properties=species:S:1:pos:R:3 pbc="T T T"
Rb 0.000 0.000 0.000
Nd 1.862 1.075 9.723
Nd 5.586 3.225 3.902
Pm 3.724 2.150 6.813
```

No. 6
A plane-wave DFT calculation with PBE was carried out for an optimized crystal structure of Rb3Pm2NdS6.

As for the space group: C2/m, No. 12.

Geometry as extended XYZ:
```
12
Lattice="7.282 -0.001 0.000 -3.640 6.307 0.000 -1.214 -2.102 7.715" Properties=species:S:1:pos:R:3 pbc="T T T"
Rb 4.856 -0.002 3.858
Rb 1.214 2.102 3.858
Rb -2.429 4.205 3.858
Pm 3.641 2.101 0.000
Pm 0.000 4.204 0.000
S 0.006 0.011 6.199
S -1.220 2.113 1.517
S 3.647 2.090 6.199
S 2.440 -0.001 1.517
S 2.421 4.192 1.517
S -0.013 4.204 6.199
Nd 0.000 0.000 0.000
```

No. 7
A plane-wave DFT calculation with PBE was carried out for an optimized crystal structure of Rb3PmNd2S6.

As for the space group: C2/m, No. 12.

Geometry as extended XYZ:
```
12
Lattice="7.301 -0.001 0.000 -3.650 6.323 0.000 -1.217 -2.108 7.719" Properties=species:S:1:pos:R:3 pbc="T T T"
Nd 3.650 2.107 0.000
Nd 0.001 4.215 0.000
Pm 0.000 0.000 0.000
S 2.441 4.226 1.522
S -0.007 -0.012 6.198
S 3.644 2.118 6.200
S 0.013 4.215 6.200
S -1.210 2.096 1.520
S 2.421 0.000 1.520
Rb 1.217 2.107 3.860
Rb 4.864 0.001 3.860
Rb -2.430 4.213 3.860
```

No. 8
A plane-wave DFT calculation with PBE was carried out for an optimized crystal structure of RbPmNd4S8.

As for the space group: R3m, No. 160.

Geometry as extended XYZ:
```
14
Lattice="8.540 0.000 0.000 4.270 7.396 0.000 4.270 2.465 6.943" Properties=species:S:1:pos:R:3 pbc="T T T"
S 6.276 6.238 1.779
S 8.540 7.763 5.095
S 6.087 3.514 5.095
S 12.810 7.396 5.055
S 10.993 3.514 5.095
S 8.540 2.316 1.779
S 10.804 6.238 1.779
S 4.270 2.465 2.110
Rb 8.540 4.931 6.060
Pm 4.270 2.465 6.859
Nd 8.540 4.931 0.870
Nd 6.335 1.273 3.500
Nd 2.205 1.273 3.500
Nd 4.270 4.850 3.500
```

Computed values of energy (unit: eV/atom) for the preceding records, in sequence: -6.868; -7.363; -6.365; -6.367; -3.570; -5.326; -5.324; -6.015.
Computed values of V (unit: Å³ per cell) for the preceding records, in sequence: 376.4; 130.6; 392.8; 393.4; 163.7; 354.3; 356.3; 438.6.